No. 1
KRb2Ca2 GGA-PBE relaxed; mass density = 1.35 g cm⁻³; energy of formation = 0.233 eV per atom; V = 71.26 Å³ per atom
1.0
-2.5570 2.5570 13.6238
2.5570 -2.5570 13.6238
2.5570 2.5570 -13.6238
K Rb Ca
1 2 2
direct
0.0000 0.0000 0.0000
0.3847 0.3847 0.0000
0.6153 0.6153 0.0000
0.2500 0.7500 0.5000
0.7500 0.2500 0.5000



No. 2
CeMg14Mn GGA-PBE relaxed; mass density = 2.40 g cm⁻³; energy of formation = 0.093 eV per atom; V = 23.19 Å³ per atom
1.0
6.4734 0.0000 0.0000
-3.2367 5.6061 0.0000
0.0000 0.0000 10.2258
Ce Mg Mn
1 14 1
direct
0.0000 0.0000 0.0000
0.0157 0.5079 0.0000
0.1638 0.3277 0.2630
0.1638 0.3277 0.7370
0.1638 0.8362 0.2630
0.1638 0.8362 0.7370
0.4921 0.5079 0.0000
0.4921 0.9843 0.0000
0.5029 0.0057 0.5000
0.5029 0.4971 0.5000
0.6667 0.3333 0.2374
0.6667 0.3333 0.7626
0.6723 0.8362 0.2630
0.6723 0.8362 0.7370
0.9943 0.4971 0.5000
0.0000 0.0000 0.5000



No. 3
CaPm3Tl2 GGA-PBE relaxed; mass density = 7.57 g cm⁻³; energy of formation = -0.172 eV per atom; V = 32.29 Å³ per atom
1.0
8.3895 -2.7652 0.0000
8.3895 2.7652 0.0000
-3.9751 0.0000 8.3526
Ca Pm Tl
2 6 4
direct
0.1360 0.1360 0.1973
0.8640 0.8640 0.8027
0.0596 0.0596 0.7154
0.3082 0.3082 0.0026
0.3823 0.3823 0.4653
0.6177 0.6177 0.5347
0.6918 0.6918 0.9974
0.9404 0.9404 0.2846
0.2262 0.2262 0.6083
0.4811 0.4811 0.8281
0.5189 0.5189 0.1719
0.7738 0.7738 0.3917



No. 4
BeCuNi14 GGA-PBE relaxed; mass density = 8.63 g cm⁻³; energy of formation = -0.022 eV per atom; V = 10.75 Å³ per atom
1.0
8.0945 0.0000 0.0000
0.0000 2.4781 4.2888
0.0000 -2.4781 4.2888
Be Cu Ni
1 1 14
direct
0.0000 0.0000 0.0000
0.0000 0.4984 0.4984
0.0000 0.0005 0.4972
0.0000 0.4972 0.0005
0.2448 0.8347 0.8347
0.2473 0.3298 0.8361
0.2473 0.8361 0.3298
0.2513 0.3325 0.3325
0.5000 0.1661 0.1661
0.5000 0.1658 0.6677
0.5000 0.6669 0.6669
0.5000 0.6677 0.1658
0.7487 0.3325 0.3325
0.7527 0.3298 0.8361
0.7527 0.8361 0.3298
0.7552 0.8347 0.8347



No. 5
AgHN2F GGA-PBE relaxed; mass density = 3.24 g cm⁻³; V = 16.00 Å³ per atom; raw total energy = -15.40 eV per cell
1.0
4.2362 0.0000 0.0000
0.0000 4.2362 0.0000
0.0000 0.0000 4.4570
Ag H N F
1 1 2 1
direct
0.0000 0.0000 0.0000
0.5000 0.5000 0.5000
0.0000 0.5000 0.0000
0.5000 0.0000 0.0000
0.0000 0.0000 0.5000



No. 6
SrRu2Pt GGA-PBE relaxed; mass density = 10.98 g cm⁻³; energy of formation = 0.524 eV per atom; V = 18.33 Å³ per atom
1.0
2.9748 0.0000 0.0000
0.0000 2.9748 0.0000
0.0000 0.0000 8.2842
Sr Ru Pt
1 2 1
direct
0.0000 0.0000 0.0000
0.5000 0.5000 0.2984
0.5000 0.5000 0.7016
0.0000 0.0000 0.5000



No. 7
VIrN2 GGA-PBE relaxed; mass density = 10.59 g cm⁻³; formation energy (no corrections) = -0.813 eV per formula unit; V = 10.63 Å³ per atom
1.0
1.3980 0.8072 6.2791
-1.3980 0.8072 6.2791
0.0000 -1.6143 6.2791
V Ir N
1 1 2
direct
0.0000 0.0000 0.0000
0.5000 0.5000 0.5000
0.3947 0.3947 0.3947
0.6053 0.6053 0.6053



No. 8
TeMo2 GGA-PBE relaxed; mass density = 9.50 g cm⁻³; formation energy (no corrections) = 2.156 eV per formula unit; V = 18.61 Å³ per atom
1.0
-2.9644 2.9644 3.1764
2.9644 -2.9644 3.1764
2.9644 2.9644 -3.1764
Te Mo
2 4
direct
0.2500 0.2500 0.0000
0.7500 0.7500 0.0000
0.1579 0.6579 0.8158
0.3421 0.1579 0.5000
0.6579 0.8421 0.5000
0.8421 0.3421 0.1842



No. 9
Tb3SmHo6Th2 GGA-PBE relaxed; mass density = 9.10 g cm⁻³; energy of formation = 0.026 eV per atom; V = 31.64 Å³ per atom
1.0
3.0838 -5.3371 0.0000
3.0838 5.3371 0.0000
-2.0585 0.0000 11.5333
Tb Sm Ho Th
3 1 6 2
direct
0.0000 0.0000 0.0000
0.3337 0.6663 0.0000
0.6663 0.3337 0.0000
0.5000 0.5000 0.5000
0.0792 0.4168 0.2520
0.2453 0.2453 0.7483
0.4168 0.0792 0.2520
0.5832 0.9208 0.7480
0.7547 0.7547 0.2517
0.9208 0.5832 0.7480
0.1666 0.8334 0.5000
0.8334 0.1666 0.5000



No. 10
CuIr2Br GGA-PBE relaxed; mass density = 13.88 g cm⁻³; formation energy (no corrections) = 2.351 eV per formula unit; V = 15.79 Å³ per atom
1.0
1.4676 0.8473 8.4641
-1.4676 0.8473 8.4641
0.0000 -1.6947 8.4641
Cu Ir Br
1 2 1
direct
0.0000 0.0000 0.0000
0.4934 0.4934 0.4934
0.7463 0.7463 0.7463
0.2485 0.2485 0.2485



No. 11
Ce2HoHg6 GGA-PBE relaxed; mass density = 12.18 g cm⁻³; energy of formation = -0.351 eV per atom; V = 24.97 Å³ per atom
1.0
4.2267 -4.3669 0.0000
4.2267 4.3669 0.0000
-0.2674 0.0000 6.0880
Ce Ho Hg
2 1 6
direct
0.1615 0.1615 0.1613
0.8385 0.8385 0.8387
0.5000 0.5000 0.5000
0.0003 0.3356 0.6652
0.9997 0.6644 0.3348
0.3349 0.6651 0.0000
0.3356 0.0003 0.6652
0.6644 0.9997 0.3348
0.6651 0.3349 0.0000



No. 12
TbNd2Pd2 GGA-PBE relaxed; mass density = 8.32 g cm⁻³; energy of formation = -0.660 eV per atom; V = 26.34 Å³ per atom
1.0
6.5532 -1.9992 0.0000
6.5532 1.9992 0.0000
-5.5676 0.0000 10.0537
Tb Nd Pd
2 4 4
direct
0.2030 0.2030 0.3564
0.7970 0.7970 0.6436
0.3287 0.3287 0.9230
0.4533 0.4533 0.3027
0.5467 0.5467 0.6973
0.6713 0.6713 0.0770
0.0166 0.0166 0.8830
0.1225 0.1225 0.5535
0.8775 0.8775 0.4465
0.9834 0.9834 0.1170



Number 1: DOS(E_F) 6.183 states/eV per cell. Number 2: DOS(E_F) 13.056 states/eV per cell. Number 3: DOS(E_F) 11.701 states/eV per cell. Number 4: DOS(E_F) 22.992 states/eV per cell. Number 5: DOS(E_F) 2.279 states/eV per cell. Number 6: DOS(E_F) 3.419 states/eV per cell. Number 7: DOS(E_F) 2.161 states/eV per cell. Number 8: DOS(E_F) 6.731 states/eV per cell. Number 9: DOS(E_F) 16.190 states/eV per cell. Number 10: DOS(E_F) 4.914 states/eV per cell. Number 11: DOS(E_F) 14.591 states/eV per cell. Number 12: DOS(E_F) 7.585 states/eV per cell.